# PBE+U Mo3P4O16, relaxed
data_Mo3P4O16
_space_group_name_H-M_alt 'P 1'
_space_group_IT_number 1
_cell_length_a 5.161
_cell_length_b 8.758
_cell_length_c 15.971
_cell_angle_alpha 62.42
_cell_angle_beta 90.00
_cell_angle_gamma 90.00
loop_
_space_group_symop_operation_xyz
'x,y,z'
loop_
_atom_site_label
_atom_site_type_symbol
_atom_site_fract_x
_atom_site_fract_y
_atom_site_fract_z
_atom_site_occupancy
O1 O 0.499 0.374 0.333 1
O2 O 0.666 0.485 0.439 1
O3 O 0.762 0.000 0.606 1
O4 O 0.598 0.691 0.266 1
O5 O 0.243 0.947 0.623 1
O6 O 0.743 0.053 0.877 1
O7 O 0.999 0.626 0.167 1
O8 O 0.014 0.088 0.711 1
O9 O 0.262 0.000 0.894 1
O10 O 0.070 0.250 0.533 1
O11 O 0.402 0.309 0.734 1
O12 O 0.834 0.485 0.939 1
O13 O 0.986 0.912 0.289 1
O14 O 0.514 0.912 0.789 1
O15 O 0.257 0.947 0.123 1
O16 O 0.001 0.374 0.833 1
O17 O 0.930 0.750 0.467 1
O18 O 0.790 0.428 0.631 1
O19 O 0.334 0.515 0.561 1
O20 O 0.098 0.309 0.234 1
O21 O 0.738 0.000 0.106 1
O22 O 0.210 0.572 0.369 1
O23 O 0.570 0.750 0.967 1
O24 O 0.902 0.691 0.766 1
O25 O 0.757 0.053 0.377 1
O26 O 0.430 0.250 0.033 1
O27 O 0.166 0.515 0.061 1
O28 O 0.290 0.572 0.869 1
O29 O 0.501 0.626 0.667 1
O30 O 0.710 0.428 0.131 1
O31 O 0.238 0.000 0.394 1
O32 O 0.486 0.088 0.211 1
Mo1 Mo 0.057 0.189 0.798 1
Mo2 Mo 0.500 0.500 0.000 1
Mo3 Mo 0.000 0.500 0.500 1
Mo4 Mo 0.443 0.189 0.298 1
Mo5 Mo 0.943 0.811 0.202 1
Mo6 Mo 0.557 0.811 0.702 1
P1 P 0.994 0.467 0.148 1
P2 P 0.468 0.071 0.119 1
P3 P 0.494 0.533 0.352 1
P4 P 0.532 0.929 0.881 1
P5 P 0.506 0.467 0.648 1
P6 P 0.968 0.929 0.381 1
P7 P 0.032 0.071 0.619 1
P8 P 0.006 0.533 0.852 1
# Uncorrected energy = -7.303 eV per atom
# Fermi-level density of states = 0.0000 states/eV/atom
# Total moment = 12.000 μB/cell
# Space-group type = No. 14